Density functional theory data (PBE) for HfSc2F2 after structural relaxation.

Cell lengths 8.2684, 8.2684, 2.7723 Å; angles 90.00, 90.00, 90.00 degrees
Last column: nearest neighbours and their distance in Å.
Positions (direct):
Hf 0.0000 0.0000 0.0000  2 Hf 2.77
Hf 0.5000 0.5000 0.0000  2 Hf 2.77
Sc 0.1312 0.3688 0.0000  4 F 2.35
Sc 0.3688 0.8688 0.0000  4 F 2.35
Sc 0.6312 0.1312 0.0000  4 F 2.35
Sc 0.8688 0.6312 0.0000  4 F 2.35
F 0.0959 0.5959 0.5000  1 F 2.24, 4 Sc 2.35
F 0.4041 0.0959 0.5000  1 F 2.24, 4 Sc 2.35
F 0.5959 0.9041 0.5000  1 F 2.24, 4 Sc 2.35
F 0.9041 0.4041 0.5000  1 F 2.24, 4 Sc 2.35

## Properties
Spin magnetization   0.00 μB/f.u.
Energy above the lowest structure with this stoichiometry   876 meV/atom
Crystal system   tetragonal